[1]
{
  "formula": "H3OsS",
  "functional": "PBE",
  "state": "optimized geometry",
  "lattice_angstrom": [[3.4267, 0.0000, 0.0000], [0.0000, 3.4267, 0.0000], [0.0000, 0.0000, 3.4267]],
  "species": ["H", "H", "H", "Os", "S"],
  "fractional_positions": [[0.0000, 0.0000, 0.5000], [0.0000, 0.5000, 0.0000], [0.5000, 0.0000, 0.0000], [0.5000, 0.5000, 0.5000], [0.0000, 0.0000, 0.0000]],
  "total_magnetization_mub_per_cell": 1.29,
  "spacegroup": "Pm-3m, No. 221",
  "energy_ev_per_cell": -17.5
}



[2]
{
  "formula": "Pr2PuThAs4",
  "functional": "PBE",
  "state": "optimized geometry",
  "lattice_angstrom": [[7.3628, 0.0000, 0.0000], [0.0000, 4.2600, 0.0000], [-2.4647, 0.0000, 6.9601]],
  "species": ["Pr", "Pr", "Pu", "Th", "As", "As", "As", "As"],
  "fractional_positions": [[0.0000, 0.0000, 0.0000], [0.5000, 0.5000, 0.0000], [0.0000, 0.5000, 0.5000], [0.5000, 0.0000, 0.5000], [0.2438, 0.0000, 0.7397], [0.2505, 0.5000, 0.2571], [0.7495, 0.5000, 0.7429], [0.7562, 0.0000, 0.2603]],
  "total_magnetization_mub_per_cell": 5.31,
  "spacegroup": "P2/m, No. 10",
  "energy_ev_per_cell": -60.9,
  "formation_energy_kj_per_mol_atoms": -133
}



[3]
{
  "formula": "PrGeCl2",
  "functional": "PBE",
  "state": "optimized geometry",
  "lattice_angstrom": [[2.1590, 1.2465, 8.0630], [-2.1590, 1.2465, 8.0630], [0.0000, -2.4930, 8.0630]],
  "species": ["Pr", "Ge", "Cl", "Cl"],
  "fractional_positions": [[0.0000, 0.0000, 0.0000], [0.5000, 0.5000, 0.5000], [0.1155, 0.1155, 0.1155], [0.8845, 0.8845, 0.8845]],
  "formation_energy_uncorrected_ev_per_atom": -0.381,
  "total_magnetization_mub_per_cell": 0.00,
  "spacegroup": "R-3m, No. 166",
  "energy_ev_per_cell": -14.6
}



[4]
{
  "formula": "RbTeRhI2",
  "functional": "PBE",
  "state": "optimized geometry",
  "lattice_angstrom": [[5.8234, 0.0000, 0.0000], [0.0000, 5.8234, 0.0000], [0.0000, 0.0000, 5.1013]],
  "species": ["Rb", "Te", "Rh", "I", "I"],
  "fractional_positions": [[0.0000, 0.0000, 0.0000], [0.5000, 0.5000, 0.0000], [0.5000, 0.5000, 0.5000], [0.0000, 0.5000, 0.5000], [0.5000, 0.0000, 0.5000]],
  "formation_energy_uncorrected_ev_per_atom": -0.444,
  "total_magnetization_mub_per_cell": 0.00,
  "spacegroup": "P4/mmm, No. 123",
  "energy_ev_per_cell": -16.8
}



[5]
{
  "formula": "CaNb2AlPt",
  "functional": "PBE",
  "state": "optimized geometry",
  "lattice_angstrom": [[5.0804, 0.0000, 0.0000], [0.0000, 5.0804, 0.0000], [0.0000, 0.0000, 4.7332]],
  "species": ["Ca", "Nb", "Nb", "Al", "Pt"],
  "fractional_positions": [[0.0000, 0.0000, 0.0000], [0.0000, 0.5000, 0.5000], [0.5000, 0.0000, 0.5000], [0.5000, 0.5000, 0.0000], [0.5000, 0.5000, 0.5000]],
  "total_magnetization_mub_per_cell": 2.06,
  "spacegroup": "P4/mmm, No. 123",
  "energy_ev_per_cell": -29.5,
  "formation_energy_kj_per_mol_atoms": 47
}



[6]
{
  "formula": "NdSc5Cd4",
  "functional": "PBE",
  "state": "optimized geometry",
  "lattice_angstrom": [[3.5165, 0.0000, 0.0000], [0.0000, 3.5165, 0.0000], [0.0000, 0.0000, 19.0980]],
  "species": ["Nd", "Sc", "Sc", "Sc", "Sc", "Sc", "Cd", "Cd", "Cd", "Cd"],
  "fractional_positions": [[0.0000, 0.0000, 0.0000], [0.5000, 0.5000, 0.1252], [0.5000, 0.5000, 0.3132], [0.5000, 0.5000, 0.5000], [0.5000, 0.5000, 0.6868], [0.5000, 0.5000, 0.8748], [0.0000, 0.0000, 0.2184], [0.0000, 0.0000, 0.4057], [0.0000, 0.0000, 0.5943], [0.0000, 0.0000, 0.7816]],
  "total_magnetization_mub_per_cell": 0.00,
  "spacegroup": "P4/mmm, No. 123",
  "energy_ev_per_cell": -42.3,
  "formation_energy_kj_per_mol_atoms": -21
}



[7]
{
  "formula": "LiSbTe2C",
  "functional": "PBE",
  "state": "optimized geometry",
  "lattice_angstrom": [[4.9739, 0.0000, 0.0000], [0.0000, 4.9739, 0.0000], [0.0000, 0.0000, 4.6449]],
  "species": ["Li", "Sb", "Te", "Te", "C"],
  "fractional_positions": [[0.0000, 0.0000, 0.0000], [0.5000, 0.5000, 0.0000], [0.0000, 0.5000, 0.5000], [0.5000, 0.0000, 0.5000], [0.5000, 0.5000, 0.5000]],
  "formation_energy_uncorrected_ev_per_atom": 0.727,
  "total_magnetization_mub_per_cell": 0.00,
  "spacegroup": "P4/mmm, No. 123",
  "energy_ev_per_cell": -17.9
}



[8]
{
  "formula": "BaSiW2",
  "functional": "PBE",
  "state": "optimized geometry",
  "lattice_angstrom": [[-1.3969, 2.7002, 5.4584], [1.3969, -2.7002, 5.4584], [1.3969, 2.7002, -5.4584]],
  "species": ["Ba", "Si", "W", "W"],
  "fractional_positions": [[0.0000, 0.0000, 0.0000], [0.5000, 0.5000, 0.0000], [0.2967, 0.7967, 0.5000], [0.7033, 0.2033, 0.5000]],
  "formation_energy_uncorrected_ev_per_atom": 0.913,
  "total_magnetization_mub_per_cell": 0.00,
  "spacegroup": "Immm, No. 71",
  "energy_ev_per_cell": -29.6
}



[9]
{
  "formula": "ReSbBr2",
  "functional": "PBE",
  "state": "optimized geometry",
  "lattice_angstrom": [[3.1273, -4.7668, 0.0000], [3.1273, 4.7668, 0.0000], [-2.9091, 0.0000, 3.2592]],
  "species": ["Re", "Sb", "Br", "Br"],
  "fractional_positions": [[0.0000, 0.0000, 0.0000], [0.5000, 0.5000, 0.0000], [0.0000, 0.5000, 0.5000], [0.5000, 0.0000, 0.5000]],
  "formation_energy_uncorrected_ev_per_atom": 1.021,
  "total_magnetization_mub_per_cell": 2.87,
  "spacegroup": "C2/m, No. 12",
  "energy_ev_per_cell": -15.8
}



[10]
{
  "formula": "CsRb2Sr",
  "functional": "PBE",
  "state": "optimized geometry",
  "lattice_angstrom": [[7.9828, 0.0000, 0.0000], [0.0000, 7.9828, 0.0000], [0.0000, 0.0000, 5.1052]],
  "species": ["Cs", "Rb", "Rb", "Sr"],
  "fractional_positions": [[0.0000, 0.0000, 0.0000], [0.0000, 0.5000, 0.5000], [0.5000, 0.0000, 0.5000], [0.5000, 0.5000, 0.0000]],
  "total_magnetization_mub_per_cell": 0.00,
  "spacegroup": "P4/mmm, No. 123",
  "energy_ev_per_cell": -4.0,
  "formation_energy_kj_per_mol_atoms": 12
}



[11]
{
  "formula": "TbTlCdHg",
  "functional": "PBE",
  "state": "optimized geometry",
  "lattice_angstrom": [[4.2832, 0.0000, 0.0000], [0.0000, 4.8220, 0.0000], [0.0000, 0.0000, 4.8629]],
  "species": ["Tb", "Tl", "Cd", "Hg"],
  "fractional_positions": [[0.0000, 0.0000, 0.0000], [0.5000, 0.5000, 0.0000], [0.0000, 0.5000, 0.5000], [0.5000, 0.0000, 0.5000]],
  "total_magnetization_mub_per_cell": 0.00,
  "spacegroup": "Pmmm, No. 47",
  "energy_ev_per_cell": -9.4,
  "formation_energy_kj_per_mol_atoms": -28
}



[12]
{
  "formula": "Ca2MgFe",
  "functional": "PBE",
  "state": "optimized geometry",
  "lattice_angstrom": [[-1.7295, 2.7144, 5.6599], [1.7295, -2.7144, 5.6599], [1.7295, 2.7144, -5.6599]],
  "species": ["Ca", "Ca", "Mg", "Fe"],
  "fractional_positions": [[0.0000, 0.0000, 0.0000], [0.7002, 0.2002, 0.5000], [0.4129, 0.4129, 0.0000], [0.2287, 0.7287, 0.5000]],
  "total_magnetization_mub_per_cell": 2.08,
  "spacegroup": "Imm2, No. 44",
  "energy_ev_per_cell": -12.8,
  "formation_energy_kj_per_mol_atoms": 30
}